The following is a PBEsol calculation of a relaxed TlPd2Au crystal, from Alexandria via LeMat-Bulk.

```
data_TlPd2Au
_cell_length_a 4.557
_cell_length_b 4.557
_cell_length_c 4.557
_cell_angle_alpha 60.00
_cell_angle_beta 60.00
_cell_angle_gamma 60.00
_symmetry_space_group_name_H-M 'P 1'
_symmetry_Int_Tables_number 1
loop_
_symmetry_equiv_pos_as_xyz
'x,y,z'
loop_
_atom_site_label
_atom_site_type_symbol
_atom_site_fract_x
_atom_site_fract_y
_atom_site_fract_z
Pd1 Pd 0.250 0.250 0.250
Pd2 Pd 0.750 0.750 0.750
Au1 Au 0.000 0.000 0.000
Tl1 Tl 0.500 0.500 0.500
```

Calculated values
Final energy ... -0.3530 Ry per atom
Space-group type ... Fm-3m

***

The following is a PBEsol calculation of a relaxed Y2MnAgN crystal, from Alexandria via LeMat-Bulk.

```
data_Y2MnAgN
_cell_length_a 3.610
_cell_length_b 4.883
_cell_length_c 4.883
_cell_angle_alpha 90.00
_cell_angle_beta 90.00
_cell_angle_gamma 90.00
_symmetry_space_group_name_H-M 'P 1'
_symmetry_Int_Tables_number 1
loop_
_symmetry_equiv_pos_as_xyz
'x,y,z'
loop_
_atom_site_label
_atom_site_type_symbol
_atom_site_fract_x
_atom_site_fract_y
_atom_site_fract_z
Y1 Y 0.000 0.000 0.500
Y2 Y 0.000 0.500 0.000
N1 N 0.000 0.000 0.000
Mn1 Mn 0.500 0.000 0.000
Ag1 Ag 0.500 0.500 0.500
```

Calculated values
Energy relative to the elements, uncorrected ... -766 meV per atom
Space-group type ... P4/mmm

***

The following is a PBEsol calculation of a relaxed KTa2Cd crystal, from Alexandria via LeMat-Bulk.

```
data_KTa2Cd
_cell_length_a 2.720
_cell_length_b 5.307
_cell_length_c 6.735
_cell_angle_alpha 113.13
_cell_angle_beta 101.65
_cell_angle_gamma 90.00
_symmetry_space_group_name_H-M 'P 1'
_symmetry_Int_Tables_number 1
loop_
_symmetry_equiv_pos_as_xyz
'x,y,z'
loop_
_atom_site_label
_atom_site_type_symbol
_atom_site_fract_x
_atom_site_fract_y
_atom_site_fract_z
K1 K 0.000 0.500 0.000
Ta1 Ta 0.220 0.220 0.439
Ta2 Ta 0.780 0.780 0.561
Cd1 Cd 0.500 0.000 0.000
```

Calculated values
Final energy ... -0.4457 Ry per atom
Space-group type ... C2/m

***

The following is a PBEsol calculation of a relaxed NiMo2Os crystal, from Alexandria via LeMat-Bulk.

```
data_NiMo2Os
_cell_length_a 3.784
_cell_length_b 3.784
_cell_length_c 3.821
_cell_angle_alpha 90.00
_cell_angle_beta 90.00
_cell_angle_gamma 90.00
_symmetry_space_group_name_H-M 'P 1'
_symmetry_Int_Tables_number 1
loop_
_symmetry_equiv_pos_as_xyz
'x,y,z'
loop_
_atom_site_label
_atom_site_type_symbol
_atom_site_fract_x
_atom_site_fract_y
_atom_site_fract_z
Ni1 Ni 0.500 0.500 0.500
Os1 Os 0.000 0.000 0.500
Mo1 Mo 0.000 0.500 0.000
Mo2 Mo 0.500 0.000 0.000
```

Calculated values
Offset from the most stable computed form ... 0.0 meV/atom
Space-group type ... P4/mmm

***

The following is a PBEsol calculation of a relaxed K2CdHg crystal, from Alexandria via LeMat-Bulk.

```
data_K2CdHg
_cell_length_a 4.775
_cell_length_b 5.025
_cell_length_c 6.726
_cell_angle_alpha 90.00
_cell_angle_beta 110.79
_cell_angle_gamma 90.00
_symmetry_space_group_name_H-M 'P 1'
_symmetry_Int_Tables_number 1
loop_
_symmetry_equiv_pos_as_xyz
'x,y,z'
loop_
_atom_site_label
_atom_site_type_symbol
_atom_site_fract_x
_atom_site_fract_y
_atom_site_fract_z
Cd1 Cd 0.808 0.000 0.616
Hg1 Hg 0.696 0.500 0.391
K1 K 0.403 0.500 0.807
K2 K 0.102 0.000 0.204
```

Calculated values
Final energy ... -0.0822 Ry per atom
Space-group type ... Amm2

***

The following is a PBEsol calculation of a relaxed Zr2OsPt crystal, from Alexandria via LeMat-Bulk.

```
data_Zr2OsPt
_cell_length_a 3.229
_cell_length_b 4.430
_cell_length_c 5.319
_cell_angle_alpha 87.19
_cell_angle_beta 90.00
_cell_angle_gamma 90.00
_symmetry_space_group_name_H-M 'P 1'
_symmetry_Int_Tables_number 1
loop_
_symmetry_equiv_pos_as_xyz
'x,y,z'
loop_
_atom_site_label
_atom_site_type_symbol
_atom_site_fract_x
_atom_site_fract_y
_atom_site_fract_z
Zr1 Zr 0.500 0.500 0.500
Zr2 Zr 0.000 0.000 0.000
Pt1 Pt 0.000 0.000 0.500
Os1 Os 0.500 0.500 0.000
```

Calculated values
Final energy ... -0.7071 Ry per atom
Space-group type ... P2/m

***

The following is a PBEsol calculation of a relaxed TaAlH3 crystal, from Alexandria via LeMat-Bulk.

```
data_TaAlH3
_cell_length_a 3.554
_cell_length_b 3.554
_cell_length_c 3.554
_cell_angle_alpha 90.00
_cell_angle_beta 90.00
_cell_angle_gamma 90.00
_symmetry_space_group_name_H-M 'P 1'
_symmetry_Int_Tables_number 1
loop_
_symmetry_equiv_pos_as_xyz
'x,y,z'
loop_
_atom_site_label
_atom_site_type_symbol
_atom_site_fract_x
_atom_site_fract_y
_atom_site_fract_z
H1 H 0.000 0.500 0.000
H2 H 0.500 0.000 0.000
H3 H 0.000 0.000 0.500
Al1 Al 0.500 0.500 0.500
Ta1 Ta 0.000 0.000 0.000
```

Calculated values
Final energy ... -0.3759 Ry per atom
Space-group type ... Pm-3m

***

The following is a PBEsol calculation of a relaxed BaTaSn3 crystal, from Alexandria via LeMat-Bulk.

```
data_BaTaSn3
_cell_length_a 5.348
_cell_length_b 5.348
_cell_length_c 5.348
_cell_angle_alpha 90.00
_cell_angle_beta 90.00
_cell_angle_gamma 90.00
_symmetry_space_group_name_H-M 'P 1'
_symmetry_Int_Tables_number 1
loop_
_symmetry_equiv_pos_as_xyz
'x,y,z'
loop_
_atom_site_label
_atom_site_type_symbol
_atom_site_fract_x
_atom_site_fract_y
_atom_site_fract_z
Sn1 Sn 0.000 0.500 0.000
Sn2 Sn 0.000 0.000 0.500
Sn3 Sn 0.500 0.000 0.000
Ba1 Ba 0.500 0.500 0.500
Ta1 Ta 0.000 0.000 0.000
```

Calculated values
Offset from the most stable computed form ... 0.0 meV/atom
Space-group type ... Pm-3m

***

| no. | theoretical density (g/cm3) |
| --- | --- |
| 1 | 15.24 |
| 2 | 6.84 |
| 3 | 9.77 |
| 4 | 13.38 |
| 5 | 4.31 |
| 6 | 12.41 |
| 7 | 7.80 |
| 8 | 7.32 |